(1)
# GGA-PBE AcSm2Sc, optimized geometry
data_AcSm2Sc
_symmetry_space_group_name_H-M 'P 1'
_symmetry_Int_Tables_number 1
_cell_length_a 5.0757
_cell_length_b 5.0757
_cell_length_c 5.2223
_cell_angle_alpha 90.00
_cell_angle_beta 90.00
_cell_angle_gamma 90.00
loop_
_symmetry_equiv_pos_as_xyz
'x,y,z'
loop_
_atom_site_label
_atom_site_type_symbol
_atom_site_fract_x
_atom_site_fract_y
_atom_site_fract_z
Ac1 Ac 0.0000 0.0000 0.0000
Sm1 Sm 0.0000 0.5000 0.5000
Sm2 Sm 0.5000 0.0000 0.5000
Sc1 Sc 0.5000 0.5000 0.0000
# - formation energy from the elements (eV per atom) = 0.0743
# - excess energy over the best structure of this formula in the dataset (meV per atom) = 0.0
# - space-group type = P4/mmm (123)
# - energy (eV/cell) = -19.58
# - calculated volume (Å³ per cell) = 134.5

***

(2)
# GGA-PBE Rb2LiSn2S4, optimized geometry
data_Rb2LiSn2S4
_symmetry_space_group_name_H-M 'P 1'
_symmetry_Int_Tables_number 1
_cell_length_a 8.7735
_cell_length_b 8.7735
_cell_length_c 8.4873
_cell_angle_alpha 116.93
_cell_angle_beta 116.93
_cell_angle_gamma 25.18
loop_
_symmetry_equiv_pos_as_xyz
'x,y,z'
loop_
_atom_site_label
_atom_site_type_symbol
_atom_site_fract_x
_atom_site_fract_y
_atom_site_fract_z
Rb1 Rb 0.1136 0.1136 0.0340
Rb2 Rb 0.8864 0.8864 0.9660
Li1 Li 0.0000 0.0000 0.5000
Sn1 Sn 0.3159 0.3159 0.4631
Sn2 Sn 0.6841 0.6841 0.5369
S1 S 0.1833 0.1833 0.7395
S2 S 0.4643 0.4643 0.7017
S3 S 0.5357 0.5357 0.2983
S4 S 0.8167 0.8167 0.2605
# - formation energy from raw total energies (eV per atom) = -0.815
# - space-group type = C2/m (12)
# - energy (eV/cell) = -35.70
# - calculated volume (Å³ per cell) = 246.2

***

(3)
# GGA-PBE U2HSe4, optimized geometry
data_U2HSe4
_symmetry_space_group_name_H-M 'P 1'
_symmetry_Int_Tables_number 1
_cell_length_a 8.4227
_cell_length_b 8.4227
_cell_length_c 8.3909
_cell_angle_alpha 119.85
_cell_angle_beta 119.85
_cell_angle_gamma 58.47
loop_
_symmetry_equiv_pos_as_xyz
'x,y,z'
loop_
_atom_site_label
_atom_site_type_symbol
_atom_site_fract_x
_atom_site_fract_y
_atom_site_fract_z
U1 U 0.0000 0.0000 0.0000
U2 U 0.0108 0.4824 0.4956
U3 U 0.5176 0.9892 0.5044
U4 U 0.9981 0.0019 0.5000
H1 H 0.3347 0.5360 0.1848
H2 H 0.4640 0.6653 0.8152
Se1 Se 0.2428 0.7400 0.7402
Se2 Se 0.2489 0.2226 0.7202
Se3 Se 0.2507 0.2216 0.2519
Se4 Se 0.2600 0.7572 0.2598
Se5 Se 0.7564 0.2236 0.7401
Se6 Se 0.7764 0.2436 0.2599
Se7 Se 0.7774 0.7511 0.2798
Se8 Se 0.7784 0.7493 0.7481
# - space-group type = C2 (5)
# - energy (eV/cell) = -90.77
# - calculated volume (Å³ per cell) = 416.7

***

(4)
# GGA-PBE CeTm5In6, optimized geometry
data_CeTm5In6
_symmetry_space_group_name_H-M 'P 1'
_symmetry_Int_Tables_number 1
_cell_length_a 5.2906
_cell_length_b 7.4922
_cell_length_c 8.3815
_cell_angle_alpha 90.00
_cell_angle_beta 108.35
_cell_angle_gamma 90.00
loop_
_symmetry_equiv_pos_as_xyz
'x,y,z'
loop_
_atom_site_label
_atom_site_type_symbol
_atom_site_fract_x
_atom_site_fract_y
_atom_site_fract_z
Ce1 Ce 0.0000 0.0000 0.0000
Tm1 Tm 0.0000 0.5000 0.0000
Tm2 Tm 0.3322 0.0000 0.6647
Tm3 Tm 0.3371 0.5000 0.6745
Tm4 Tm 0.6629 0.5000 0.3255
Tm5 Tm 0.6678 0.0000 0.3353
In1 In 0.1705 0.2568 0.3407
In2 In 0.1705 0.7432 0.3407
In3 In 0.5000 0.2551 0.0000
In4 In 0.5000 0.7449 0.0000
In5 In 0.8295 0.2568 0.6593
In6 In 0.8295 0.7432 0.6593
# - formation energy from the elements (eV per atom) = -0.4083
# - space-group type = P2/m (10)
# - energy (eV/cell) = -49.62
# - calculated volume (Å³ per cell) = 315.3

***

(5)
# GGA-PBE LaSbTe2Au, optimized geometry
data_LaSbTe2Au
_symmetry_space_group_name_H-M 'P 1'
_symmetry_Int_Tables_number 1
_cell_length_a 6.0642
_cell_length_b 6.0642
_cell_length_c 6.2308
_cell_angle_alpha 90.00
_cell_angle_beta 90.00
_cell_angle_gamma 90.00
loop_
_symmetry_equiv_pos_as_xyz
'x,y,z'
loop_
_atom_site_label
_atom_site_type_symbol
_atom_site_fract_x
_atom_site_fract_y
_atom_site_fract_z
La1 La 0.0000 0.0000 0.0000
Sb1 Sb 0.0000 0.0000 0.5000
Te1 Te 0.0000 0.5000 0.0000
Te2 Te 0.5000 0.0000 0.0000
Au1 Au 0.5000 0.5000 0.5000
# - excess energy over the best structure of this formula in the dataset (meV per atom) = 715.7
# - formation energy from raw total energies (eV per atom) = 0.439
# - space-group type = P4/mmm (123)
# - energy (eV/cell) = -16.41
# - calculated volume (Å³ per cell) = 229.1

***

(6)
# GGA-PBE InNi2P, optimized geometry
data_InNi2P
_symmetry_space_group_name_H-M 'P 1'
_symmetry_Int_Tables_number 1
_cell_length_a 7.8990
_cell_length_b 7.8990
_cell_length_c 7.8990
_cell_angle_alpha 148.21
_cell_angle_beta 148.21
_cell_angle_gamma 45.57
loop_
_symmetry_equiv_pos_as_xyz
'x,y,z'
loop_
_atom_site_label
_atom_site_type_symbol
_atom_site_fract_x
_atom_site_fract_y
_atom_site_fract_z
In1 In 0.0000 0.0000 0.0000
In2 In 0.7500 0.2500 0.5000
Ni1 Ni 0.2499 0.6250 0.1249
Ni2 Ni 0.3750 0.4999 0.6249
Ni3 Ni 0.5001 0.1250 0.8751
Ni4 Ni 0.8750 0.7501 0.3751
P1 P 0.2500 0.7500 0.5000
P2 P 0.5000 0.5000 0.0000
# - formation energy from the elements (eV per atom) = -0.0689
# - space-group type = I-42d (122)
# - energy (eV/cell) = -39.97
# - calculated volume (Å³ per cell) = 136.3

***

(7)
# GGA-PBE SrInGe, optimized geometry
data_SrInGe
_symmetry_space_group_name_H-M 'P 1'
_symmetry_Int_Tables_number 1
_cell_length_a 4.0637
_cell_length_b 5.1001
_cell_length_c 8.8095
_cell_angle_alpha 106.71
_cell_angle_beta 103.20
_cell_angle_gamma 90.28
loop_
_symmetry_equiv_pos_as_xyz
'x,y,z'
loop_
_atom_site_label
_atom_site_type_symbol
_atom_site_fract_x
_atom_site_fract_y
_atom_site_fract_z
Sr1 Sr 0.1338 0.3660 0.2774
Sr2 Sr 0.8662 0.6340 0.7226
In1 In 0.4905 0.2090 0.9138
In2 In 0.5095 0.7910 0.0862
Ge1 Ge 0.2911 0.1231 0.5806
Ge2 Ge 0.7089 0.8769 0.4194
# - formation energy from the elements (eV per atom) = -0.4490
# - space-group type = P-1 (2)
# - energy (eV/cell) = -20.77
# - calculated volume (Å³ per cell) = 169.8

***

(8)
# GGA-PBE BaBi2Sb2, optimized geometry
data_BaBi2Sb2
_symmetry_space_group_name_H-M 'P 1'
_symmetry_Int_Tables_number 1
_cell_length_a 8.5423
_cell_length_b 8.5423
_cell_length_c 8.5423
_cell_angle_alpha 147.49
_cell_angle_beta 147.49
_cell_angle_gamma 46.63
loop_
_symmetry_equiv_pos_as_xyz
'x,y,z'
loop_
_atom_site_label
_atom_site_type_symbol
_atom_site_fract_x
_atom_site_fract_y
_atom_site_fract_z
Ba1 Ba 0.0000 0.0000 0.0000
Bi1 Bi 0.2500 0.7500 0.5000
Bi2 Bi 0.7500 0.2500 0.5000
Sb1 Sb 0.4073 0.4073 0.0000
Sb2 Sb 0.5927 0.5927 0.0000
# - excess energy over the best structure of this formula in the dataset (meV per atom) = 8.4
# - formation energy from raw total energies (eV per atom) = -0.307
# - space-group type = I4/mmm (139)
# - energy (eV/cell) = -19.46
# - calculated volume (Å³ per cell) = 179.4

***

(9)
# GGA-PBE LaCr2Ag, optimized geometry
data_LaCr2Ag
_symmetry_space_group_name_H-M 'P 1'
_symmetry_Int_Tables_number 1
_cell_length_a 4.9483
_cell_length_b 4.9483
_cell_length_c 4.9483
_cell_angle_alpha 120.25
_cell_angle_beta 120.25
_cell_angle_gamma 89.57
loop_
_symmetry_equiv_pos_as_xyz
'x,y,z'
loop_
_atom_site_label
_atom_site_type_symbol
_atom_site_fract_x
_atom_site_fract_y
_atom_site_fract_z
La1 La 0.0000 0.0000 0.0000
Cr1 Cr 0.5000 0.5000 0.0000
Cr2 Cr 0.7500 0.2500 0.5000
Ag1 Ag 0.2500 0.7500 0.5000
# - formation energy from the elements (eV per atom) = 0.4001
# - excess energy over the best structure of this formula in the dataset (meV per atom) = 105.3
# - space-group type = I-4m2 (119)
# - energy (eV/cell) = -25.43
# - calculated volume (Å³ per cell) = 85.3

***

(10)
# GGA-PBE NdCu12Si7, optimized geometry
data_NdCu12Si7
_symmetry_space_group_name_H-M 'P 1'
_symmetry_Int_Tables_number 1
_cell_length_a 7.5183
_cell_length_b 7.5183
_cell_length_c 7.5183
_cell_angle_alpha 112.77
_cell_angle_beta 112.77
_cell_angle_gamma 112.77
loop_
_symmetry_equiv_pos_as_xyz
'x,y,z'
loop_
_atom_site_label
_atom_site_type_symbol
_atom_site_fract_x
_atom_site_fract_y
_atom_site_fract_z
Nd1 Nd 0.0000 0.0000 0.0000
Cu1 Cu 0.0000 0.2604 0.7396
Cu2 Cu 0.0000 0.7396 0.2604
Cu3 Cu 0.0997 0.4309 0.4309
Cu4 Cu 0.2604 0.0000 0.7396
Cu5 Cu 0.2604 0.7396 0.0000
Cu6 Cu 0.4309 0.0997 0.4309
Cu7 Cu 0.4309 0.4309 0.0997
Cu8 Cu 0.5691 0.5691 0.9003
Cu9 Cu 0.5691 0.9003 0.5691
Cu10 Cu 0.7396 0.0000 0.2604
Cu11 Cu 0.7396 0.2604 0.0000
Cu12 Cu 0.9003 0.5691 0.5691
Si1 Si 0.1739 0.1739 0.5240
Si2 Si 0.1739 0.5240 0.1739
Si3 Si 0.4760 0.8261 0.8261
Si4 Si 0.5000 0.5000 0.5000
Si5 Si 0.5240 0.1739 0.1739
Si6 Si 0.8261 0.4760 0.8261
Si7 Si 0.8261 0.8261 0.4760
# - formation energy from raw total energies (eV per atom) = -0.025
# - space-group type = R-3m (166)
# - energy (eV/cell) = -92.39
# - calculated volume (Å³ per cell) = 280.3

***

(11)
# GGA-PBE ErHf5N6, optimized geometry
data_ErHf5N6
_symmetry_space_group_name_H-M 'P 1'
_symmetry_Int_Tables_number 1
_cell_length_a 5.6056
_cell_length_b 5.6056
_cell_length_c 5.6127
_cell_angle_alpha 99.50
_cell_angle_beta 99.50
_cell_angle_gamma 120.06
loop_
_symmetry_equiv_pos_as_xyz
'x,y,z'
loop_
_atom_site_label
_atom_site_type_symbol
_atom_site_fract_x
_atom_site_fract_y
_atom_site_fract_z
Er1 Er 0.0000 0.0000 0.0000
Hf1 Hf 0.1656 0.8344 0.5000
Hf2 Hf 0.3331 0.6669 0.0000
Hf3 Hf 0.5000 0.5000 0.5000
Hf4 Hf 0.6669 0.3331 0.0000
Hf5 Hf 0.8344 0.1656 0.5000
N1 N 0.0858 0.4268 0.2578
N2 N 0.2569 0.2569 0.7465
N3 N 0.4268 0.0858 0.2578
N4 N 0.5732 0.9142 0.7422
N5 N 0.7431 0.7431 0.2535
N6 N 0.9142 0.5732 0.7422
# - formation energy from raw total energies (eV per atom) = -1.768
# - space-group type = C2/m (12)
# - energy (eV/cell) = -125.49
# - calculated volume (Å³ per cell) = 144.1

***

(12)
# GGA-PBE LiBeZn, optimized geometry
data_LiBeZn
_symmetry_space_group_name_H-M 'P 1'
_symmetry_Int_Tables_number 1
_cell_length_a 6.3432
_cell_length_b 6.2367
_cell_length_c 2.5169
_cell_angle_alpha 80.84
_cell_angle_beta 76.09
_cell_angle_gamma 23.06
loop_
_symmetry_equiv_pos_as_xyz
'x,y,z'
loop_
_atom_site_label
_atom_site_type_symbol
_atom_site_fract_x
_atom_site_fract_y
_atom_site_fract_z
Li1 Li 0.0000 0.0000 0.0000
Be1 Be 0.6642 0.6642 0.3358
Zn1 Zn 0.3170 0.3170 0.6830
# - formation energy from the elements (eV per atom) = 0.1096
# - excess energy over the best structure of this formula in the dataset (meV per atom) = 84.7
# - space-group type = Fmm2 (42)
# - energy (eV/cell) = -6.59
# - calculated volume (Å³ per cell) = 37.4